# 1
The following is a PBE calculation of a geometry-optimized Sr2Al4InAg3 structure, from Alexandria.

uncorrected energy	-3.22	eV per atom
space group	P-4m2
calculated volume	230	Å³/f.u.
total magnetization	0.00	μB per formula unit
E_form	-0.257	eV per atom

```
Sr2Al4InAg3
1.0
-0.1785 3.8336 2.2815
-2.8313 1.6672 -3.0229
-8.8951 -4.0447 6.1004
Al Ag Sr In
4 3 2 1
Direct
0.5000 0.5000 0.0000 Al
0.5000 0.0000 0.6438 Al
0.0000 0.0000 0.0000 Al
0.0000 0.5000 0.3562 Al
0.5000 0.0000 0.8710 Ag
0.0000 0.5000 0.1290 Ag
0.0000 0.0000 0.5000 Ag
0.5000 0.0000 0.2440 Sr
0.0000 0.5000 0.7560 Sr
0.5000 0.5000 0.5000 In
```



# 2
The following is a PBE calculation of a geometry-optimized Sr2AlIn6Ag structure, from Alexandria.

uncorrected energy	-2.78	eV per atom
space group	R-3m
calculated volume	291	Å³/f.u.
total magnetization	0.00	μB per formula unit
E_form	-0.137	eV per atom

```
Sr2AlIn6Ag
1.0
-2.6744 -5.8107 3.5390
4.4653 -5.4256 2.0163
2.6310 2.0143 12.8459
Sr In Al Ag
4 12 2 2
Direct
0.8923 0.8923 0.3231 Sr
0.7160 0.7160 0.8520 Sr
0.2840 0.2840 0.1480 Sr
0.1077 0.1077 0.6769 Sr
0.3380 0.9289 0.3950 In
0.6510 0.2268 0.8954 In
0.3380 0.3380 0.3950 In
0.7732 0.3490 0.1046 In
0.0711 0.6620 0.6050 In
0.2268 0.6510 0.8954 In
0.6620 0.6620 0.6050 In
0.3490 0.7732 0.1046 In
0.9289 0.3380 0.3950 In
0.2268 0.2268 0.8954 In
0.7732 0.7732 0.1046 In
0.6620 0.0711 0.6050 In
0.5722 0.5722 0.2833 Al
0.4278 0.4278 0.7167 Al
0.0000 0.0000 0.0000 Ag
0.5000 0.5000 0.5000 Ag
```



# 3
The following is a PBE calculation of a geometry-optimized Sr2Al3InAg4 structure, from Alexandria.

uncorrected energy	-3.12	eV per atom
space group	P-4m2
calculated volume	233	Å³/f.u.
total magnetization	0.00	μB per formula unit
E_form	-0.252	eV per atom

```
Sr2Al3InAg4
1.0
4.5582 0.0000 0.0000
0.0000 4.5582 0.0000
0.0000 0.0000 11.2370
Ag Al Sr In
4 3 2 1
Direct
0.0000 0.5000 0.3528 Ag
0.0000 0.0000 0.0000 Ag
0.5000 0.5000 0.0000 Ag
0.5000 0.0000 0.6472 Ag
0.0000 0.0000 0.5000 Al
0.5000 0.0000 0.8804 Al
0.0000 0.5000 0.1196 Al
0.0000 0.5000 0.7551 Sr
0.5000 0.0000 0.2449 Sr
0.5000 0.5000 0.5000 In
```



# 4
The following is a PBE calculation of a geometry-optimized SrAlInAg3 structure, from Alexandria.

uncorrected energy	-2.89	eV per atom
space group	Cmcm
calculated volume	145	Å³/f.u.
total magnetization	0.00	μB per formula unit
E_form	-0.103	eV per atom

```
SrAlInAg3
1.0
-5.8433 1.3738 3.3026
1.2515 -4.6149 4.1340
2.6016 6.6716 1.8278
Al Ag Sr In
2 6 2 2
Direct
0.7500 0.0647 0.1295 Al
0.2500 0.9353 0.8705 Al
0.0000 0.2769 0.0000 Ag
0.0000 0.7231 0.0000 Ag
0.5000 0.2769 0.0000 Ag
0.2500 0.1403 0.2807 Ag
0.7500 0.8597 0.7193 Ag
0.5000 0.7231 0.0000 Ag
0.7500 0.3020 0.6041 Sr
0.2500 0.6980 0.3959 Sr
0.7500 0.6456 0.2912 In
0.2500 0.3544 0.7088 In
```